[1]
## ReSb3S (GGA-PBE)

Data for crystalline ReSb3S at its relaxed geometry. Values from VASP.

Geometry as Quantum ESPRESSO input:
```
&SYSTEM
  ibrav = 0, nat = 5, ntyp = 3
/
ATOMIC_SPECIES
S 32.06 S.upf
Sb 121.76 Sb.upf
Re 186.21 Re.upf
CELL_PARAMETERS angstrom
-0.782 -1.870 -4.715
-4.166 -2.485 1.676
-2.894 4.083 -1.139
ATOMIC_POSITIONS crystal
S 0.500 0.500 0.500
Sb 0.500 0.000 0.000
Sb 0.000 0.500 0.000
Sb 0.000 0.000 0.500
Re 0.000 0.000 0.000
```

Computed properties:
Total moment, μB per cell: 0.00

---

[2]
## KU3O9 (GGA-PBE)

Data for crystalline KU3O9 at its relaxed geometry. Values from VASP.

Geometry as Quantum ESPRESSO input:
```
&SYSTEM
  ibrav = 0, nat = 13, ntyp = 3
/
ATOMIC_SPECIES
O 16.00 O.upf
U 238.03 U.upf
K 39.10 K.upf
CELL_PARAMETERS angstrom
4.188 0.000 0.000
0.000 6.991 -4.037
0.000 0.000 8.073
ATOMIC_POSITIONS crystal
O 0.000 0.500 0.000
O 0.000 0.000 0.500
O 0.500 0.794 0.588
O 0.500 0.206 0.794
O 0.000 0.500 0.500
O 0.500 0.412 0.206
O 0.500 0.206 0.412
O 0.500 0.588 0.794
O 0.500 0.794 0.206
U 0.500 0.500 0.500
U 0.500 0.000 0.500
U 0.500 0.500 0.000
K 0.000 0.000 0.000
```

Computed properties:
Total moment, μB per cell: 1.01

---

[3]
## CsTiAg2I (GGA-PBE)

Data for crystalline CsTiAg2I at its relaxed geometry. Values from VASP.

Geometry as Quantum ESPRESSO input:
```
&SYSTEM
  ibrav = 0, nat = 5, ntyp = 4
/
ATOMIC_SPECIES
I 126.90 I.upf
Cs 132.91 Cs.upf
Ti 47.87 Ti.upf
Ag 107.87 Ag.upf
CELL_PARAMETERS angstrom
5.969 0.000 0.000
0.000 6.350 0.000
0.000 0.000 5.969
ATOMIC_POSITIONS crystal
I 0.500 0.500 0.500
Cs 0.000 0.000 0.000
Ti 0.000 0.500 0.000
Ag 0.000 0.000 0.500
Ag 0.500 0.000 0.000
```

Computed properties:
Total moment, μB per cell: 3.14

---

[4]
## TlIn4PbS8 (GGA-PBE)

Data for crystalline TlIn4PbS8 at its relaxed geometry. Values from VASP.

Geometry as Quantum ESPRESSO input:
```
&SYSTEM
  ibrav = 0, nat = 14, ntyp = 4
/
ATOMIC_SPECIES
S 32.06 S.upf
Pb 207.20 Pb.upf
In 114.82 In.upf
Tl 204.38 Tl.upf
CELL_PARAMETERS angstrom
7.957 0.000 0.000
3.978 6.891 0.000
3.978 2.297 6.657
ATOMIC_POSITIONS crystal
S 0.254 0.254 0.708
S 0.254 0.784 0.708
S 0.746 0.227 0.281
S 0.227 0.746 0.281
S 0.238 0.238 0.287
S 0.757 0.757 0.729
S 0.784 0.254 0.708
S 0.746 0.746 0.281
Pb 0.003 0.003 0.991
In 0.000 0.000 0.501
In 0.499 0.000 0.501
In 0.000 0.499 0.501
In 0.617 0.617 0.148
Tl 0.376 0.376 0.873
```

Computed properties:
Total moment, μB per cell: 0.00

---

Number 1: energy -25.8 eV per cell. Number 2: energy -119.1 eV per cell. Number 3: energy -8.9 eV per cell. Number 4: energy -56.1 eV per cell.